# 1
# Tb2Y5HoTh

A relaxed Tb2Y5HoTh crystal (PBE, the Alexandria database).

The structure in CIF format:
```
data_Tb2Y5HoTh
_symmetry_space_group_name_H-M 'I 4/m c m'
_symmetry_Int_Tables_number 140
_symmetry_space_group_name_Hall '-I 4 2c'
_cell_length_a 8.797
_cell_length_b 8.797
_cell_length_c 15.075
_cell_angle_alpha 90.00
_cell_angle_beta 90.00
_cell_angle_gamma 90.00
loop_
_atom_site_label
_atom_site_type_symbol
_atom_site_fract_x
_atom_site_fract_y
_atom_site_fract_z
Tb1 Tb 0.114 0.386 0.000
Y1 Y 0.000 0.000 0.000
Y2 Y 0.209 0.291 0.363
Ho1 Ho 0.000 0.500 0.250
Th1 Th 0.000 0.000 0.250
```

Output
The calculation puts the total energy at -0.415 Ry per atom. Its calculated formation energy is 2.78 eV per formula unit. Its density of states at the Fermi level is 46.14 states/eV per cell.

***

# 2
# Tb6YHoTh2

A relaxed Tb6YHoTh2 crystal (PBE, the Alexandria database).

The structure in CIF format:
```
data_Tb6YHoTh2
_symmetry_space_group_name_H-M 'C 1 2/c 1'
_symmetry_Int_Tables_number 15
_symmetry_space_group_name_Hall '-C 2yc'
_cell_length_a 8.932
_cell_length_b 14.784
_cell_length_c 10.097
_cell_angle_alpha 90.00
_cell_angle_beta 102.18
_cell_angle_gamma 90.00
loop_
_atom_site_label
_atom_site_type_symbol
_atom_site_fract_x
_atom_site_fract_y
_atom_site_fract_z
Tb1 Tb 0.073 0.187 0.449
Tb2 Tb 0.094 0.400 0.618
Tb3 Tb 0.202 0.225 0.822
Y1 Y 0.000 0.011 0.750
Ho1 Ho 0.000 0.403 0.250
Th1 Th 0.230 0.047 0.043
```

Output
The calculation puts the total energy at -0.383 Ry per atom. Its calculated formation energy is 1.49 eV per formula unit. Its density of states at the Fermi level is 58.73 states/eV per cell.

***

# 3
# Tb2Y6Ho2Th

A relaxed Tb2Y6Ho2Th crystal (PBE, the Alexandria database).

The structure in CIF format:
```
data_Tb2Y6Ho2Th
_symmetry_space_group_name_H-M 'C m m m'
_symmetry_Int_Tables_number 65
_symmetry_space_group_name_Hall '-C 2 2'
_cell_length_a 5.692
_cell_length_b 11.972
_cell_length_c 10.598
_cell_angle_alpha 90.00
_cell_angle_beta 90.00
_cell_angle_gamma 90.00
loop_
_atom_site_label
_atom_site_type_symbol
_atom_site_fract_x
_atom_site_fract_y
_atom_site_fract_z
Tb1 Tb 0.000 0.137 0.000
Y1 Y 0.000 0.000 0.289
Y2 Y 0.000 0.348 0.211
Ho1 Ho 0.000 0.201 0.500
Th1 Th 0.000 0.500 0.500
```

Output
The calculation puts the total energy at -0.421 Ry per atom. Its calculated formation energy is 1.67 eV per formula unit. Its density of states at the Fermi level is 32.34 states/eV per cell.

***

# 4
# Tb5Y2HoTh

A relaxed Tb5Y2HoTh crystal (PBE, the Alexandria database).

The structure in CIF format:
```
data_Tb5Y2HoTh
_symmetry_space_group_name_H-M 'C m c 21'
_symmetry_Int_Tables_number 36
_symmetry_space_group_name_Hall 'C 2c -2'
_cell_length_a 5.718
_cell_length_b 21.486
_cell_length_c 9.748
_cell_angle_alpha 90.00
_cell_angle_beta 90.00
_cell_angle_gamma 90.00
loop_
_atom_site_label
_atom_site_type_symbol
_atom_site_fract_x
_atom_site_fract_y
_atom_site_fract_z
Tb1 Tb 0.000 0.015 0.000
Tb2 Tb 0.000 0.273 0.305
Tb3 Tb 0.000 0.303 0.697
Tb4 Tb 0.000 0.399 0.024
Tb5 Tb 0.000 0.469 0.725
Y1 Y 0.000 0.116 0.312
Y2 Y 0.000 0.127 0.696
Ho1 Ho 0.000 0.190 0.999
Th1 Th 0.000 0.405 0.407
```

Output
The calculation puts the total energy at -0.381 Ry per atom. Its calculated formation energy is 1.43 eV per formula unit. Its density of states at the Fermi level is 48.95 states/eV per cell.

***

# 5
# Tb2YHo6Th

A relaxed Tb2YHo6Th crystal (PBE, the Alexandria database).

The structure in CIF format:
```
data_Tb2YHo6Th
_symmetry_space_group_name_H-M 'C 1 2/c 1'
_symmetry_Int_Tables_number 15
_symmetry_space_group_name_Hall '-C 2yc'
_cell_length_a 9.146
_cell_length_b 14.920
_cell_length_c 9.430
_cell_angle_alpha 90.00
_cell_angle_beta 96.36
_cell_angle_gamma 90.00
loop_
_atom_site_label
_atom_site_type_symbol
_atom_site_fract_x
_atom_site_fract_y
_atom_site_fract_z
Tb1 Tb 0.249 0.050 0.449
Y1 Y 0.000 0.091 0.750
Ho1 Ho 0.060 0.320 0.941
Ho2 Ho 0.097 0.112 0.115
Ho3 Ho 0.206 0.276 0.317
Th1 Th 0.000 0.468 0.250
```

Output
The calculation puts the total energy at -0.361 Ry per atom. Its calculated formation energy is 1.50 eV per formula unit. Its density of states at the Fermi level is 57.85 states/eV per cell.

***

# 6
# Tb2YHoTh

A relaxed Tb2YHoTh crystal (PBE, the Alexandria database).

The structure in CIF format:
```
data_Tb2YHoTh
_symmetry_space_group_name_H-M 'C m c m'
_symmetry_Int_Tables_number 63
_symmetry_space_group_name_Hall '-C 2c 2'
_cell_length_a 6.426
_cell_length_b 16.592
_cell_length_c 6.385
_cell_angle_alpha 90.00
_cell_angle_beta 90.00
_cell_angle_gamma 90.00
loop_
_atom_site_label
_atom_site_type_symbol
_atom_site_fract_x
_atom_site_fract_y
_atom_site_fract_z
Tb1 Tb 0.247 0.000 0.000
Y1 Y 0.000 0.343 0.250
Ho1 Ho 0.000 0.238 0.750
Th1 Th 0.000 0.156 0.250
```

Output
The calculation puts the total energy at -0.378 Ry per atom. Its calculated formation energy is 2.03 eV per formula unit. Its density of states at the Fermi level is 24.46 states/eV per cell.

***

# 7
# Tb6Y2HoTh

A relaxed Tb6Y2HoTh crystal (PBE, the Alexandria database).

The structure in CIF format:
```
data_Tb6Y2HoTh
_symmetry_space_group_name_H-M 'C 1 2/c 1'
_symmetry_Int_Tables_number 15
_symmetry_space_group_name_Hall '-C 2yc'
_cell_length_a 9.454
_cell_length_b 15.101
_cell_length_c 9.117
_cell_angle_alpha 90.00
_cell_angle_beta 92.56
_cell_angle_gamma 90.00
loop_
_atom_site_label
_atom_site_type_symbol
_atom_site_fract_x
_atom_site_fract_y
_atom_site_fract_z
Tb1 Tb 0.052 0.172 0.438
Tb2 Tb 0.096 0.379 0.604
Tb3 Tb 0.216 0.218 0.806
Y1 Y 0.243 0.447 0.941
Ho1 Ho 0.000 0.417 0.250
Th1 Th 0.000 0.037 0.750
```

Output
The calculation puts the total energy at -0.376 Ry per atom. Its calculated formation energy is 1.53 eV per formula unit. Its density of states at the Fermi level is 60.56 states/eV per cell.

***

# 8
# TbY2Ho6Th

A relaxed TbY2Ho6Th crystal (PBE, the Alexandria database).

The structure in CIF format:
```
data_TbY2Ho6Th
_symmetry_space_group_name_H-M 'C 1 2/c 1'
_symmetry_Int_Tables_number 15
_symmetry_space_group_name_Hall '-C 2yc'
_cell_length_a 9.097
_cell_length_b 14.878
_cell_length_c 9.583
_cell_angle_alpha 90.00
_cell_angle_beta 97.78
_cell_angle_gamma 90.00
loop_
_atom_site_label
_atom_site_type_symbol
_atom_site_fract_x
_atom_site_fract_y
_atom_site_fract_z
Tb1 Tb 0.000 0.024 0.250
Y1 Y 0.242 0.051 0.546
Ho1 Ho 0.066 0.187 0.940
Ho2 Ho 0.098 0.395 0.119
Ho3 Ho 0.201 0.225 0.314
Th1 Th 0.000 0.406 0.750
```

Output
The calculation puts the total energy at -0.374 Ry per atom. Its calculated formation energy is 1.50 eV per formula unit. Its density of states at the Fermi level is 59.80 states/eV per cell.

***

# 9
# TbY6Ho2Th

A relaxed TbY6Ho2Th crystal (PBE, the Alexandria database).

The structure in CIF format:
```
data_TbY6Ho2Th
_symmetry_space_group_name_H-M 'C 1 2/c 1'
_symmetry_Int_Tables_number 15
_symmetry_space_group_name_Hall '-C 2yc'
_cell_length_a 9.294
_cell_length_b 14.996
_cell_length_c 9.387
_cell_angle_alpha 90.00
_cell_angle_beta 95.62
_cell_angle_gamma 90.00
loop_
_atom_site_label
_atom_site_type_symbol
_atom_site_fract_x
_atom_site_fract_y
_atom_site_fract_z
Tb1 Tb 0.000 0.088 0.250
Y1 Y 0.058 0.324 0.441
Y2 Y 0.095 0.114 0.610
Y3 Y 0.211 0.279 0.815
Ho1 Ho 0.250 0.051 0.945
Th1 Th 0.000 0.467 0.750
```

Output
The calculation puts the total energy at -0.430 Ry per atom. Its calculated formation energy is 1.49 eV per formula unit. Its density of states at the Fermi level is 61.00 states/eV per cell.

***

# 10
# TbYHoTh

A relaxed TbYHoTh crystal (PBE, the Alexandria database).

The structure in CIF format:
```
data_TbYHoTh
_symmetry_space_group_name_H-M 'R 3 m'
_symmetry_Int_Tables_number 160
_symmetry_space_group_name_Hall 'R 3 -2"'
_cell_length_a 3.5926
_cell_length_b 3.5926
_cell_length_c 34.3007
_cell_angle_alpha 90.00
_cell_angle_beta 90.00
_cell_angle_gamma 120.00
loop_
_atom_site_label
_atom_site_type_symbol
_atom_site_fract_x
_atom_site_fract_y
_atom_site_fract_z
Tb1 Tb 0.0000 0.0000 0.0000
Y1 Y 0.0000 0.0000 0.8317
Ho1 Ho 0.0000 0.0000 0.2497
Th1 Th 0.0000 0.0000 0.4152
```

Output
The calculation puts the total energy at -0.424 Ry per atom. Its calculated formation energy is 0.03 eV per formula unit. Its density of states at the Fermi level is 18.77 states/eV per cell. The calculation puts the energy relative to the lowest polymorph listed for this composition at 0.0 meV/atom.

***

# 11
# Tb2Y6HoTh

A relaxed Tb2Y6HoTh crystal (PBE, the Alexandria database).

The structure in CIF format:
```
data_Tb2Y6HoTh
_symmetry_space_group_name_H-M 'C 1 2/c 1'
_symmetry_Int_Tables_number 15
_symmetry_space_group_name_Hall '-C 2yc'
_cell_length_a 9.232
_cell_length_b 14.952
_cell_length_c 9.516
_cell_angle_alpha 90.00
_cell_angle_beta 96.89
_cell_angle_gamma 90.00
loop_
_atom_site_label
_atom_site_type_symbol
_atom_site_fract_x
_atom_site_fract_y
_atom_site_fract_z
Tb1 Tb 0.249 0.049 0.053
Y1 Y 0.060 0.179 0.442
Y2 Y 0.096 0.389 0.613
Y3 Y 0.208 0.221 0.816
Ho1 Ho 0.000 0.409 0.250
Th1 Th 0.000 0.030 0.750
```

Output
The calculation puts the total energy at -0.430 Ry per atom. Its calculated formation energy is 1.49 eV per formula unit. Its density of states at the Fermi level is 60.22 states/eV per cell.

***

# 12
# TbY2Ho2Th

A relaxed TbY2Ho2Th crystal (PBE, the Alexandria database).

The structure in CIF format:
```
data_TbY2Ho2Th
_symmetry_space_group_name_H-M 'P m c 21'
_symmetry_Int_Tables_number 26
_symmetry_space_group_name_Hall 'P 2c -2'
_cell_length_a 5.039
_cell_length_b 10.676
_cell_length_c 7.105
_cell_angle_alpha 90.00
_cell_angle_beta 90.00
_cell_angle_gamma 90.00
loop_
_atom_site_label
_atom_site_type_symbol
_atom_site_fract_x
_atom_site_fract_y
_atom_site_fract_z
Tb1 Tb 0.000 0.001 0.000
Y1 Y 0.000 0.331 0.505
Y2 Y 0.500 0.500 0.249
Ho1 Ho 0.000 0.330 0.994
Ho2 Ho 0.500 0.164 0.249
Th1 Th 0.500 0.168 0.751
```

Output
The calculation puts the total energy at -0.416 Ry per atom. Its calculated formation energy is 0.21 eV per formula unit. Its density of states at the Fermi level is 19.01 states/eV per cell.